Material: Nd2SmNb2N6
Method: DFT, PBE
State: relaxed

Cell lengths 10.188, 10.188, 10.188 Å; angles 157.08, 157.08, 32.64 degrees
Positions (direct):
N (0.300, 0.300, 0.000)
N (0.700, 0.700, 0.000)
N (0.582, 0.082, 0.500)
N (0.918, 0.418, 0.500)
N (0.082, 0.582, 0.500)
N (0.418, 0.918, 0.500)
Nb (0.400, 0.400, 0.000)
Nb (0.600, 0.600, 0.000)
Nd (0.179, 0.179, 0.000)
Nd (0.821, 0.821, 0.000)
Sm (0.000, 0.000, 0.000)

The space group is I4/mmm. As for the energy: -8.90 eV/atom.